1.
The following is a PBEsol calculation of a geometry-optimized Li2TiB2O6 structure, from the Alexandria database.

Cell lengths 5.065, 5.860, 8.032 Å; angles 77.16, 87.67, 89.24 degrees
Space group P-1 (No. 2)
Symmetry-distinct sites (fractional):
Li 0.154 0.009 0.212 (multiplicity 2)
Li 0.320 0.184 0.608 (multiplicity 2)
Ti 0.346 0.517 0.251 (multiplicity 2)
B 0.167 0.654 0.563 (multiplicity 2)
B 0.350 0.815 0.902 (multiplicity 2)
O 0.104 0.327 0.407 (multiplicity 2)
O 0.209 0.944 0.781 (multiplicity 2)
O 0.271 0.768 0.076 (multiplicity 2)
O 0.285 0.762 0.409 (multiplicity 2)
O 0.307 0.496 0.684 (multiplicity 2)
O 0.402 0.281 0.134 (multiplicity 2)

Results
E_form (uncorrected) in meV/atom: -2502
Magnetization in μB/f.u.: 0.0

=====

2.
The following is a PBEsol calculation of a geometry-optimized SrCoOs2 structure, from the Alexandria database.

Cell lengths 2.7400, 2.7400, 28.7107 Å; angles 90.00, 90.00, 120.00 degrees
Space group R-3m (No. 166, hexagonal axes)
Symmetry-distinct sites (fractional):
Sr 0.0000 0.0000 0.0000 (multiplicity 3)
Co 0.0000 0.0000 0.5000 (multiplicity 3)
Os 0.0000 0.0000 0.2355 (multiplicity 6)

Results
Formation energy in eV per atom: 0.909
Magnetization in μB/f.u.: 1.1
Polymorph energy (0 for the lowest one) in meV per atom: 555

=====

3.
The following is a PBEsol calculation of a geometry-optimized Mg2FeBr structure, from the Alexandria database.

Cell lengths 3.2668, 3.2668, 24.7796 Å; angles 90.00, 90.00, 120.00 degrees
Space group R-3m (No. 166, hexagonal axes)
Symmetry-distinct sites (fractional):
Mg 0.0000 0.0000 0.2462 (multiplicity 6)
Fe 0.0000 0.0000 0.5000 (multiplicity 3)
Br 0.0000 0.0000 0.0000 (multiplicity 3)

Results
E_form (uncorrected) in meV/atom: -8
Magnetization in μB/f.u.: 2.6
Polymorph energy (0 for the lowest one) in meV per atom: 0

=====

4.
The following is a PBEsol calculation of a geometry-optimized LiIn2CuTe4 structure, from the Alexandria database.

Cell lengths 6.256, 6.256, 12.605 Å; angles 90.00, 90.00, 90.00 degrees
Space group I-4 (No. 82)
Symmetry-distinct sites (fractional):
Li 0.000 0.000 0.000 (multiplicity 2)
In 0.000 0.000 0.500 (multiplicity 2)
In 0.000 0.500 0.750 (multiplicity 2)
Cu 0.000 0.500 0.250 (multiplicity 2)
Te 0.225 0.740 0.129 (multiplicity 8)

Results
E_form (uncorrected) in meV/atom: -394
Magnetization in μB/f.u.: 0.0

=====

5.
The following is a PBEsol calculation of a geometry-optimized YCoOs3 structure, from the Alexandria database.

Cell lengths 4.693, 4.693, 4.693 Å; angles 90.00, 90.00, 90.00 degrees
Space group Pm-3m (No. 221)
Symmetry-distinct sites (fractional):
Y 0.000 0.000 0.000 (multiplicity 1)
Co 0.500 0.500 0.500 (multiplicity 1)
Os 0.000 0.000 0.500 (multiplicity 3)

Results
Formation energy in eV per atom: 3.389
Magnetization in μB/f.u.: 4.0

=====

6.
The following is a PBEsol calculation of a geometry-optimized Zr2BrCl structure, from the Alexandria database.

Cell lengths 3.4297, 3.4297, 27.6668 Å; angles 90.00, 90.00, 120.00 degrees
Space group R3m (No. 160, hexagonal axes)
Symmetry-distinct sites (fractional):
Zr 0.0000 0.0000 0.0000 (multiplicity 3)
Zr 0.0000 0.0000 0.2482 (multiplicity 3)
Br 0.0000 0.0000 0.7348 (multiplicity 3)
Cl 0.0000 0.0000 0.5198 (multiplicity 3)

Results
E_form (uncorrected) in meV/atom: -1173
Magnetization in μB/f.u.: 0.0
Polymorph energy (0 for the lowest one) in meV per atom: 0

=====

7.
The following is a PBEsol calculation of a geometry-optimized CaCo3Br structure, from the Alexandria database.

Cell lengths 4.629, 4.629, 4.629 Å; angles 90.00, 90.00, 90.00 degrees
Space group Pm-3m (No. 221)
Symmetry-distinct sites (fractional):
Ca 0.000 0.000 0.000 (multiplicity 1)
Co 0.000 0.000 0.500 (multiplicity 3)
Br 0.500 0.500 0.500 (multiplicity 1)

Results
E_form (uncorrected) in meV/atom: 2023
Magnetization in μB/f.u.: 4.2

=====

8.
The following is a PBEsol calculation of a geometry-optimized LiSbP2O8 structure, from the Alexandria database.

Cell lengths 4.837, 5.756, 9.900 Å; angles 90.00, 91.49, 90.00 degrees
Space group P2_1/m (No. 11)
Symmetry-distinct sites (fractional):
Li 0.087 0.250 0.222 (multiplicity 2)
Sb 0.450 0.250 0.722 (multiplicity 2)
P 0.121 0.750 0.091 (multiplicity 2)
P 0.400 0.750 0.588 (multiplicity 2)
O 0.140 0.750 0.943 (multiplicity 2)
O 0.190 0.250 0.870 (multiplicity 2)
O 0.251 0.535 0.655 (multiplicity 4)
O 0.283 0.546 0.170 (multiplicity 4)
O 0.295 0.250 0.395 (multiplicity 2)
O 0.302 0.750 0.435 (multiplicity 2)

Results
E_form (uncorrected) in meV/atom: -1941
Magnetization in μB/f.u.: 0.0

=====

9.
The following is a PBEsol calculation of a geometry-optimized FeNiMo structure, from the Alexandria database.

Cell lengths 5.525, 5.525, 5.525 Å; angles 90.00, 90.00, 90.00 degrees
Space group F-43m (No. 216)
Symmetry-distinct sites (fractional):
Fe 0.000 0.000 0.000 (multiplicity 4)
Ni 0.250 0.250 0.750 (multiplicity 4)
Mo 0.000 0.000 0.500 (multiplicity 4)

Results
Formation energy in eV per atom: 0.659
Magnetization in μB/f.u.: 3.1
Polymorph energy (0 for the lowest one) in meV per atom: 604

=====

10.
The following is a PBEsol calculation of a geometry-optimized ZnCuOs2 structure, from the Alexandria database.

Cell lengths 5.178, 7.895, 2.619 Å; angles 90.00, 90.00, 90.00 degrees
Space group Cmmm (No. 65)
Symmetry-distinct sites (fractional):
Zn 0.000 0.000 0.000 (multiplicity 2)
Cu 0.000 0.500 0.000 (multiplicity 2)
Os 0.250 0.250 0.500 (multiplicity 4)

Results
Formation energy in eV per atom: 0.517
Magnetization in μB/f.u.: 0.0

=====

11.
The following is a PBEsol calculation of a geometry-optimized BaRu3W structure, from the Alexandria database.

Cell lengths 4.777, 4.777, 4.777 Å; angles 90.00, 90.00, 90.00 degrees
Space group Pm-3m (No. 221)
Symmetry-distinct sites (fractional):
Ba 0.000 0.000 0.000 (multiplicity 1)
Ru 0.000 0.000 0.500 (multiplicity 3)
W 0.500 0.500 0.500 (multiplicity 1)

Results
Formation energy in eV per atom: 3.389
Magnetization in μB/f.u.: 0.6

=====

12.
The following is a PBEsol calculation of a geometry-optimized Ba2LiHg2 structure, from the Alexandria database.

Cell lengths 8.802, 8.802, 4.518 Å; angles 90.00, 90.00, 90.00 degrees
Space group P4/mbm (No. 127)
Symmetry-distinct sites (fractional):
Ba 0.164 0.336 0.000 (multiplicity 4)
Li 0.000 0.000 0.500 (multiplicity 2)
Hg 0.134 0.634 0.500 (multiplicity 4)

Results
Formation energy in eV per atom: -0.386
Magnetization in μB/f.u.: 0.0

=====

13.
The following is a PBEsol calculation of a geometry-optimized La2CoCu structure, from the Alexandria database.

Cell lengths 4.0809, 4.0809, 20.5963 Å; angles 90.00, 90.00, 120.00 degrees
Space group R3m (No. 160, hexagonal axes)
Symmetry-distinct sites (fractional):
La 0.0000 0.0000 0.0000 (multiplicity 3)
La 0.0000 0.0000 0.1759 (multiplicity 3)
Co 0.0000 0.0000 0.4200 (multiplicity 3)
Cu 0.0000 0.0000 0.7545 (multiplicity 3)

Results
Formation energy in eV per atom: -0.036
Magnetization in μB/f.u.: 0.0

=====

14.
The following is a PBEsol calculation of a geometry-optimized Rb2BaGeW structure, from the Alexandria database.

Cell lengths 7.103, 7.103, 5.502 Å; angles 90.00, 90.00, 90.00 degrees
Space group P4/mmm (No. 123)
Symmetry-distinct sites (fractional):
Rb 0.000 0.500 0.000 (multiplicity 2)
Ba 0.000 0.000 0.000 (multiplicity 1)
Ge 0.000 0.000 0.500 (multiplicity 1)
W 0.500 0.500 0.500 (multiplicity 1)

Results
Formation energy in eV per atom: 2.004
Magnetization in μB/f.u.: 5.1

=====

15.
The following is a PBEsol calculation of a geometry-optimized CrRe2Se structure, from the Alexandria database.

Cell lengths 2.906, 2.906, 6.526 Å; angles 90.00, 90.00, 90.00 degrees
Space group P4mm (No. 99)
Symmetry-distinct sites (fractional):
Cr 0.000 0.000 0.000 (multiplicity 1)
Re 0.000 0.000 0.518 (multiplicity 1)
Re 0.500 0.500 0.262 (multiplicity 1)
Se 0.500 0.500 0.792 (multiplicity 1)

Results
E_form (uncorrected) in meV/atom: 155
Magnetization in μB/f.u.: 0.0
Polymorph energy (0 for the lowest one) in meV per atom: 0

=====

16.
The following is a PBEsol calculation of a geometry-optimized ScAsIr structure, from the Alexandria database.

Cell lengths 3.036, 3.036, 10.595 Å; angles 90.00, 90.00, 90.00 degrees
Space group I4mm (No. 107)
Symmetry-distinct sites (fractional):
Sc 0.000 0.000 0.000 (multiplicity 2)
As 0.000 0.000 0.682 (multiplicity 2)
Ir 0.000 0.000 0.327 (multiplicity 2)

Results
Formation energy in eV per atom: -0.536
Magnetization in μB/f.u.: 0.0

=====

17.
The following is a PBEsol calculation of a geometry-optimized MgZrCd2 structure, from the Alexandria database.

Cell lengths 3.142, 3.142, 8.286 Å; angles 90.00, 90.00, 90.00 degrees
Space group P4/mmm (No. 123)
Symmetry-distinct sites (fractional):
Mg 0.000 0.000 0.000 (multiplicity 1)
Zr 0.000 0.000 0.500 (multiplicity 1)
Cd 0.500 0.500 0.244 (multiplicity 2)

Results
Formation energy in eV per atom: -0.166
Magnetization in μB/f.u.: 0.0

=====

18.
The following is a PBEsol calculation of a geometry-optimized Mg2AgSe structure, from the Alexandria database.

Cell lengths 6.872, 6.872, 6.872 Å; angles 90.00, 90.00, 90.00 degrees
Space group F-43m (No. 216)
Symmetry-distinct sites (fractional):
Mg 0.000 0.000 0.000 (multiplicity 4)
Mg 0.250 0.250 0.250 (multiplicity 4)
Ag 0.000 0.000 0.500 (multiplicity 4)
Se 0.250 0.250 0.750 (multiplicity 4)

Results
E_form (uncorrected) in meV/atom: -19
Magnetization in μB/f.u.: 0.0

=====

19.
The following is a PBEsol calculation of a geometry-optimized LiMg structure, from the Alexandria database.

Cell lengths 9.768, 8.412, 5.863 Å; angles 90.00, 90.00, 90.00 degrees
Space group Pbcm (No. 57)
Symmetry-distinct sites (fractional):
Li 0.113 0.068 0.250 (multiplicity 4)
Li 0.370 0.598 0.250 (multiplicity 4)
Li 0.382 0.250 0.000 (multiplicity 4)
Mg 0.125 0.750 0.000 (multiplicity 4)
Mg 0.139 0.099 0.750 (multiplicity 4)
Mg 0.379 0.567 0.750 (multiplicity 4)

Results
Formation energy in eV per atom: -0.028
Magnetization in μB/f.u.: 0.0

=====

20.
The following is a PBEsol calculation of a geometry-optimized CsPt2N2 structure, from the Alexandria database.

Cell lengths 4.040, 4.040, 12.016 Å; angles 90.00, 90.00, 90.00 degrees
Space group I4/mmm (No. 139)
Symmetry-distinct sites (fractional):
Cs 0.000 0.000 0.000 (multiplicity 2)
Pt 0.000 0.500 0.250 (multiplicity 4)
N 0.000 0.000 0.301 (multiplicity 4)

Results
E_form (uncorrected) in meV/atom: 619
Magnetization in μB/f.u.: 0.0

=====

21.
The following is a PBEsol calculation of a geometry-optimized CdPb2Se structure, from the Alexandria database.

Cell lengths 4.355, 4.355, 11.116 Å; angles 90.00, 90.00, 90.00 degrees
Space group I-4m2 (No. 119)
Symmetry-distinct sites (fractional):
Cd 0.000 0.000 0.000 (multiplicity 2)
Pb 0.000 0.000 0.500 (multiplicity 2)
Pb 0.000 0.500 0.250 (multiplicity 2)
Se 0.000 0.500 0.750 (multiplicity 2)

Results
E_form (uncorrected) in meV/atom: -55
Magnetization in μB/f.u.: 0.0
Polymorph energy (0 for the lowest one) in meV per atom: 75

=====

22.
The following is a PBEsol calculation of a geometry-optimized CuBi2O4 structure, from the Alexandria database.

Cell lengths 8.716, 8.716, 5.469 Å; angles 90.00, 90.00, 90.00 degrees
Space group I4cm (No. 108)
Symmetry-distinct sites (fractional):
Cu 0.000 0.000 0.000 (multiplicity 4)
Bi 0.167 0.333 0.310 (multiplicity 8)
O 0.102 0.193 0.982 (multiplicity 16)

Results
E_form (uncorrected) in meV/atom: -973
Magnetization in μB/f.u.: 0.2
Polymorph energy (0 for the lowest one) in meV per atom: 88

=====

23.
The following is a PBEsol calculation of a geometry-optimized KMnPCO7 structure, from the Alexandria database.

Cell lengths 4.992, 6.109, 9.427 Å; angles 90.00, 98.89, 90.00 degrees
Space group P2_1 (No. 4)
Symmetry-distinct sites (fractional):
K 0.096 0.000 0.166 (multiplicity 2)
Mn 0.272 0.944 0.656 (multiplicity 2)
P 0.302 0.443 0.562 (multiplicity 2)
C 0.462 0.945 0.901 (multiplicity 2)
O 0.094 0.442 0.425 (multiplicity 2)
O 0.198 0.943 0.851 (multiplicity 2)
O 0.269 0.250 0.663 (multiplicity 2)
O 0.271 0.638 0.662 (multiplicity 2)
O 0.401 0.443 0.209 (multiplicity 2)
O 0.409 0.944 0.480 (multiplicity 2)
O 0.437 0.450 0.971 (multiplicity 2)

Results
E_form (uncorrected) in meV/atom: -1851
Magnetization in μB/f.u.: 3.0

=====

24.
The following is a PBEsol calculation of a geometry-optimized ZrNbTlF2 structure, from the Alexandria database.

Cell lengths 4.155, 4.155, 5.506 Å; angles 90.00, 90.00, 90.00 degrees
Space group P4/mmm (No. 123)
Symmetry-distinct sites (fractional):
Zr 0.000 0.000 0.000 (multiplicity 1)
Nb 0.000 0.000 0.500 (multiplicity 1)
Tl 0.500 0.500 0.000 (multiplicity 1)
F 0.000 0.500 0.500 (multiplicity 2)

Results
E_form (uncorrected) in meV/atom: -922
Magnetization in μB/f.u.: 0.0